No. 1
PBE Zn5Fe, relaxed; symmetry = No. 8; final energy = -0.0903 Ha/atom; volume = 13.92 Å³/atom
1.0
5.023 -1.333 0.000
5.023 1.333 0.000
-1.620 0.000 6.234
Zn Fe
5 1
Cartesian
0.000 0.000 0.000 Zn
-0.441 0.000 3.879 Zn
3.456 0.000 1.830 Zn
6.192 0.000 2.138 Zn
5.831 0.000 5.850 Zn
2.277 0.000 4.142 Fe


No. 2
PBE ZnFe, relaxed; symmetry = No. 62; final energy = -0.1763 Ha/atom; volume = 12.85 Å³/atom
1.0
9.106 0.000 0.000
0.000 4.272 0.000
0.000 0.000 5.285
Zn Fe
8 8
Cartesian
0.782 1.068 0.030 Zn
1.552 3.204 4.008 Zn
3.001 1.068 1.365 Zn
3.771 3.204 2.673 Zn
5.335 1.068 2.613 Zn
6.105 3.204 3.920 Zn
7.554 1.068 1.278 Zn
8.324 3.204 5.255 Zn
0.731 1.068 2.693 Fe
1.430 3.204 1.457 Fe
3.123 1.068 4.099 Fe
3.822 3.204 0.050 Fe
5.284 1.068 5.235 Fe
5.983 3.204 1.186 Fe
7.676 1.068 3.829 Fe
8.375 3.204 2.593 Fe


No. 3
PBE ZnFe, relaxed; symmetry = No. 70; final energy = -0.1698 Ha/atom; volume = 13.53 Å³/atom
1.0
0.000 4.880 8.846
1.253 0.000 8.846
1.253 4.880 0.000
Zn Fe
4 4
Cartesian
0.940 3.660 0.024 Zn
1.567 6.100 4.447 Zn
0.940 3.660 13.245 Zn
1.567 6.100 17.668 Zn
0.940 0.054 6.634 Fe
1.567 2.494 11.057 Fe
0.940 7.267 6.634 Fe
1.567 9.707 11.057 Fe


No. 4
PBE ZnFe, relaxed; symmetry = No. 194; final energy = -0.1441 Ha/atom; volume = 18.42 Å³/atom
1.0
4.198 0.000 0.000
-2.099 3.635 0.000
0.000 0.000 4.829
Zn Fe
2 2
Cartesian
0.000 2.424 1.207 Zn
2.099 1.212 3.621 Zn
0.000 2.424 3.621 Fe
2.099 1.212 1.207 Fe


No. 5
PBE Zn9Fe4, relaxed; symmetry = No. 8; distance to the lowest polymorph of the same formula = 77 meV per atom; final energy = -0.1262 Ha/atom; volume = 13.71 Å³/atom
1.0
4.456 -6.321 0.000
4.456 6.321 0.000
-4.437 0.000 6.327
Zn Fe
18 8
Cartesian
0.000 0.000 0.000 Zn
4.112 4.101 1.713 Zn
-1.888 0.000 6.265 Zn
1.243 2.200 4.016 Zn
2.982 1.731 2.198 Zn
1.670 3.909 6.284 Zn
1.243 -2.200 4.016 Zn
2.227 1.367 6.237 Zn
4.739 0.000 1.353 Zn
2.982 -1.731 2.198 Zn
4.103 2.205 4.601 Zn
5.769 2.173 2.287 Zn
2.227 -1.367 6.237 Zn
4.112 -4.101 1.713 Zn
1.670 -3.909 6.284 Zn
7.353 0.000 2.178 Zn
4.103 -2.205 4.601 Zn
5.769 -2.173 2.287 Zn
-1.372 1.554 4.190 Fe
-0.241 2.152 6.273 Fe
-1.372 -1.554 4.190 Fe
0.958 0.000 2.601 Fe
0.358 0.000 4.994 Fe
-0.241 -2.152 6.273 Fe
2.907 0.000 4.094 Fe
5.511 0.000 3.961 Fe


No. 6
PBE ZnFe, relaxed; symmetry = No. 187; final energy = -0.1762 Ha/atom; volume = 12.79 Å³/atom
1.0
2.620 0.000 0.000
-1.310 2.269 0.000
0.000 0.000 4.301
Zn Fe
1 1
Cartesian
0.000 0.000 0.000 Zn
1.310 0.756 2.150 Fe


No. 7
PBE Zn10Fe3, relaxed; symmetry = No. 42; final energy = -0.1087 Ha/atom; volume = 13.96 Å³/atom
1.0
0.000 6.355 4.500
6.345 0.000 4.500
6.345 6.355 0.000
Zn Fe
20 6
Cartesian
0.000 0.000 0.000 Zn
7.956 2.246 4.053 Zn
4.104 2.273 1.328 Zn
6.345 3.834 1.812 Zn
8.589 4.745 3.075 Zn
4.734 2.246 4.053 Zn
6.345 6.355 2.590 Zn
2.241 4.082 1.328 Zn
8.589 7.965 3.075 Zn
10.222 6.355 5.393 Zn
4.102 4.745 3.075 Zn
6.345 8.876 1.812 Zn
7.647 6.355 4.892 Zn
4.102 7.965 3.075 Zn
10.449 10.437 5.828 Zn
5.043 6.355 4.892 Zn
7.956 10.464 4.053 Zn
8.586 8.628 5.828 Zn
4.734 10.464 4.053 Zn
2.468 6.355 5.393 Zn
6.345 4.190 4.346 Fe
6.345 5.062 6.744 Fe
6.345 8.520 4.346 Fe
8.403 6.355 7.336 Fe
6.345 7.648 6.744 Fe
4.287 6.355 7.336 Fe


No. 8
PBE ZnFe, relaxed; symmetry = No. 139; final energy = -0.1720 Ha/atom; volume = 13.70 Å³/atom
1.0
-3.746 3.746 1.952
3.746 -3.746 1.952
3.746 3.746 -1.952
Zn Fe
4 4
Cartesian
2.275 0.000 0.000 Zn
5.218 0.000 0.000 Zn
0.000 2.275 0.000 Zn
0.000 5.218 0.000 Zn
2.515 2.515 0.000 Fe
1.231 -1.231 1.952 Fe
-1.231 1.231 1.952 Fe
1.231 1.231 1.952 Fe


Number 1 is which compound? Zn5Fe


Which of these has the highest volume? number 4